5
Lattice="-3.005 -0.251 -2.485 0.876 -3.746 -0.681 -2.512 -1.161 3.156" Properties=species:S:1:pos:R:3 comment="PBEsol TaCIO2, optimized geometry" total_energy_ev_per_atom=-5.567 raw_formation_energy_kcal_per_mol_atoms=30.55 sg=P4/mmm pbc="T T T"
I -1.256 -0.580 1.578
C 0.000 0.000 0.000
O 0.438 -1.873 -0.340
O -1.502 -0.126 -1.242
Ta -2.321 -2.579 -0.005

5
Lattice="4.666 0.000 0.000 0.000 4.666 0.000 0.000 0.000 4.742" Properties=species:S:1:pos:R:3 comment="PBEsol CdSiBiMo2, optimized geometry" total_energy_ev_per_atom=-5.984 raw_formation_energy_kcal_per_mol_atoms=22.35 sg=P4/mmm pbc="T T T"
Mo 0.000 2.333 0.000
Mo 2.333 0.000 0.000
Si 0.000 0.000 0.000
Bi 2.333 2.333 2.371
Cd 0.000 0.000 2.371

6
Lattice="3.093 0.000 0.000 -1.546 2.678 0.000 0.000 0.000 15.121" Properties=species:S:1:pos:R:3 comment="PBEsol LiMg, optimized geometry" total_energy_ev_per_atom=-1.865 formation_enthalpy_0k_mev_per_atom=-23 sg=P3m1 pbc="T T T"
Mg 0.000 0.000 0.000
Mg 1.546 0.893 7.497
Mg 0.000 0.000 10.153
Li 1.546 0.893 2.523
Li 0.000 0.000 4.997
Li 1.546 0.893 12.636

3
Lattice="3.819 0.000 0.000 0.000 3.819 0.000 0.000 0.000 5.438" Properties=species:S:1:pos:R:3 comment="PBEsol ZnTe2, optimized geometry" total_energy_ev_per_atom=-2.702 raw_formation_energy_kcal_per_mol_atoms=4.07 sg=P4/mmm pbc="T T T"
Zn 0.000 0.000 0.000
Te 0.000 0.000 2.719
Te 1.909 1.909 0.000

4
Lattice="5.205 0.000 0.000 2.603 4.508 0.000 2.603 1.503 4.250" Properties=species:S:1:pos:R:3 comment="PBEsol BaMg2Mo, optimized geometry" total_energy_ev_per_atom=-3.535 formation_enthalpy_0k_mev_per_atom=802 e_above_lowest_polymorph_kcal_per_mol_atoms=3.080 sg=Fm-3m pbc="T T T"
Ba 0.000 0.000 0.000
Mg 2.603 1.503 1.063
Mg 7.808 4.508 3.188
Mo 5.205 3.005 2.125

4
Lattice="-0.430 -1.618 -4.604 2.822 -3.681 -1.577 -3.220 -5.582 -0.344" Properties=species:S:1:pos:R:3 comment="PBEsol BaCd2In, optimized geometry" total_energy_ev_per_atom=-2.136 formation_enthalpy_0k_mev_per_atom=-254 sg=R-3m pbc="T T T"
In -0.414 -5.440 -3.263
Ba 0.000 0.000 0.000
Cd -0.661 -3.151 -1.438
Cd -0.168 -7.730 -5.088

24
Lattice="6.509 0.012 0.004 -2.370 6.062 0.004 -1.913 -2.807 11.380" Properties=species:S:1:pos:R:3 comment="PBEsol Rb5SiHO5, optimized geometry" total_energy_ev_per_atom=-5.188 sg=C2/m pbc="T T T"
H 4.632 1.291 0.004
H -0.493 4.783 0.004
O 1.166 1.712 7.988
O 1.060 1.555 3.400
O 3.526 2.772 7.113
O 0.936 -1.029 4.275
O -1.300 0.494 4.275
O 1.290 4.296 7.113
O 2.467 3.621 9.455
O -0.241 -0.354 1.933
O 3.824 1.841 0.004
O 0.314 4.233 0.004
Rb 2.822 0.469 5.694
Rb -0.596 2.798 5.694
Rb -0.274 -0.402 6.854
Rb 2.500 3.668 4.534
Rb 1.064 1.561 0.363
Rb 1.162 1.706 11.025
Rb 3.461 0.122 9.137
Rb 3.379 0.001 2.252
Rb -1.235 3.145 2.252
Rb -1.153 3.265 9.137
Si 2.103 3.086 7.925
Si 0.123 0.181 3.463

5
Lattice="-3.404 -1.639 -2.474 2.998 -0.479 -3.808 1.119 -4.512 1.449" Properties=species:S:1:pos:R:3 comment="PBEsol CuGe2AsIr, optimized geometry" total_energy_ev_per_atom=-4.669 formation_enthalpy_0k_mev_per_atom=1159 sg=P4/mmm pbc="T T T"
As 0.000 0.000 0.000
Ir -1.702 -0.820 -1.237
Ge 0.560 -2.256 0.725
Ge 1.499 -0.240 -1.904
Cu 0.356 -3.315 -2.416

4
Lattice="-3.408 -2.686 -1.117 0.770 -3.738 -2.347 -0.431 -4.006 1.961" Properties=species:S:1:pos:R:3 comment="PBEsol TaFeAu2, optimized geometry" total_energy_ev_per_atom=-7.158 formation_enthalpy_0k_mev_per_atom=182 e_above_lowest_polymorph_kcal_per_mol_atoms=3.457 sg=Fm-3m pbc="T T T"
Au -0.767 -2.608 -0.376
Au -2.302 -7.823 -1.127
Fe 0.000 0.000 0.000
Ta -1.534 -5.215 -0.752

3
Lattice="4.365 0.000 0.000 2.183 3.780 0.000 2.183 1.260 3.564" Properties=species:S:1:pos:R:3 comment="PBEsol LiTlFe, optimized geometry" total_energy_ev_per_atom=-3.895 formation_enthalpy_0k_mev_per_atom=625 sg=F-43m pbc="T T T"
Fe 0.000 0.000 0.000
Li 4.365 2.520 1.782
Tl 2.183 1.260 0.891

3
Lattice="2.662 -0.085 0.000 -0.977 2.478 0.000 -0.843 -1.196 6.582" Properties=species:S:1:pos:R:3 comment="PBEsol FeRuAu, optimized geometry" total_energy_ev_per_atom=-7.290 formation_enthalpy_0k_mev_per_atom=397 sg=Fmm2 pbc="T T T"
Au 0.843 1.196 6.517
Fe 0.000 0.000 4.295
Ru 0.843 1.196 2.352

10
Lattice="-1.688 -2.397 -3.306 4.541 -1.269 -1.399 0.595 -3.939 5.505" Properties=species:S:1:pos:R:3 comment="PBEsol BaH3Rh, optimized geometry" total_energy_ev_per_atom=-4.485 sg=C222_1 pbc="T T T"
H 1.402 -5.108 0.098
H 2.082 -2.445 0.773
H -0.139 -0.197 -0.272
H 3.405 -5.729 -0.600
H 0.721 -2.834 -3.733
H 0.007 -1.926 1.330
Rh 2.357 -6.368 0.461
Rh 1.091 -1.236 0.339
Ba 2.498 -3.459 -1.720
Ba 0.950 -4.146 2.521